Below is YP2Rh after structural relaxation, with properties calculated at the GGA-PBEsol level.

The space group is P4mm (No. 99) and the conventional cell measures 3.449, 3.449 and 5.662 Å, with angles of 90.00, 90.00 and 90.00 degrees. The distinct sites, in fractional coordinates, are Y at (0.000, 0.000, 0.000), P at (0.000, 0.000, 0.501), P at (0.500, 0.500, 0.209) and Rh at (0.500, 0.500, 0.623).

The excess energy over the best structure of this formula in the dataset is 187 meV per atom. As for the formation energy from the elements: -0.655 eV/atom. For the density, the calculation gives 6.3 g cm⁻³. For the total magnetization, the calculation gives 0.00 μB/cell. The value obtained for the density of states at the Fermi level is 2.6 states/eV/cell.